Entry 1:
This record from Alexandria describes a relaxed structure of CeUCoNi. The functional is PBE-GGA.

Structure (POSCAR):
```
CeUCoNi
1.0
-4.3408 0.9905 -0.5728
-3.1493 -2.4165 2.0964
-2.3513 1.8147 3.3660
Ni U Ce Co
1 1 1 1
Cartesian
-7.3810 0.2916 3.6672
-2.4603 0.0972 1.2224
-4.9207 0.1944 2.4448
0.0000 0.0000 0.0000
```

* formation enthalpy at 0 K: -182 meV per atom
* magnetic moment: 1.07 μB per formula unit
* crystal system: cubic
* SG: No. 216

***

Entry 2:
This record from Alexandria describes a relaxed structure of MnTl2Cl. The functional is PBE-GGA.

Structure (POSCAR):
```
MnTl2Cl
1.0
3.2706 0.0000 0.0000
0.0000 3.2706 0.0000
0.0000 0.0000 9.6029
Cl Mn Tl
1 1 2
Cartesian
0.0000 0.0000 5.6374
1.6353 1.6353 6.9875
0.0000 0.0000 9.1301
1.6353 1.6353 2.2523
```

* offset from the most stable computed form: 0.016 eV/atom
* magnetic moment: 4.37 μB per formula unit
* crystal system: tetragonal
* SG: No. 99
* uncorrected formation energy: -0.102 eV/atom

***

Entry 3:
This record from Alexandria describes a relaxed structure of RePbBr3. The functional is PBE-GGA.

Structure (POSCAR):
```
RePbBr3
1.0
5.1718 0.0000 0.0000
0.0000 5.1718 0.0000
0.0000 0.0000 5.1718
Pb Re Br
1 1 3
Cartesian
2.5859 2.5859 2.5859
0.0000 0.0000 0.0000
0.0000 2.5859 0.0000
0.0000 0.0000 2.5859
2.5859 0.0000 0.0000
```

* offset from the most stable computed form: 0.000 eV/atom
* magnetic moment: 1.99 μB per formula unit
* crystal system: cubic
* SG: No. 221
* uncorrected formation energy: 0.458 eV/atom

***

Entry 4:
This record from Alexandria describes a relaxed structure of In3OsW. The functional is PBE-GGA.

Structure (POSCAR):
```
In3OsW
1.0
5.2417 0.0000 0.0000
0.0000 5.2417 0.0000
0.0000 0.0000 5.2417
Os W In
1 1 3
Cartesian
2.6208 2.6208 2.6208
0.0000 0.0000 0.0000
0.0000 2.6208 0.0000
0.0000 0.0000 2.6208
2.6208 0.0000 0.0000
```

* formation enthalpy at 0 K: 1888 meV per atom
* magnetic moment: 4.75 μB per formula unit
* crystal system: cubic
* SG: No. 221

***

Entry 5:
This record from Alexandria describes a relaxed structure of Pm2ScGaO6. The functional is PBE-GGA.

Structure (POSCAR):
```
Pm2ScGaO6
1.0
5.5009 0.0000 -0.0332
0.0000 5.7213 0.0000
0.0003 0.0000 7.9102
Pm Sc Ga O
4 2 2 12
Cartesian
0.0888 5.3902 1.9730
2.8394 3.1917 5.9114
5.4124 0.3311 5.9040
2.6618 2.5295 1.9655
2.7504 0.0000 -0.0166
0.0002 2.8606 3.9551
2.7506 0.0000 3.9385
0.0000 2.8606 0.0000
1.6144 3.9861 0.4171
4.3650 4.5958 4.3556
3.8868 1.7351 7.4598
1.1362 1.1255 3.5213
1.6779 4.0382 3.5084
4.4285 4.5437 7.4468
3.8233 1.6831 4.3686
1.0727 1.1775 0.4301
4.9313 3.0605 1.9021
2.1810 5.5214 5.8738
0.5699 2.6608 5.9749
3.3202 0.1999 2.0032
```

* magnetic moment: 0.00 μB per formula unit
* crystal system: monoclinic
* SG: No. 14
* uncorrected formation energy: -3.074 eV/atom

***

Entry 6:
This record from Alexandria describes a relaxed structure of KRb5. The functional is PBE-GGA.

Structure (POSCAR):
```
KRb5
1.0
8.3950 -1.9899 0.0000
-3.8905 9.2997 0.0000
0.0000 0.0000 14.9268
K Rb
2 10
Cartesian
4.3620 3.1106 3.7317
0.1425 4.1993 11.1951
2.4229 7.7868 3.7317
2.0815 -0.4769 11.1951
-1.7944 8.7699 6.1801
6.2989 -1.4601 13.6435
6.2989 -1.4601 8.7466
-1.7944 8.7699 1.2833
0.1730 4.1466 6.2233
4.3315 3.1632 13.6867
4.3315 3.1632 8.7035
0.1730 4.1466 1.2401
```

* formation enthalpy at 0 K: 6 meV per atom
* offset from the most stable computed form: 0.003 eV/atom
* magnetic moment: 0.00 μB per formula unit
* crystal system: monoclinic
* SG: No. 11

***

Entry 7:
This record from Alexandria describes a relaxed structure of PaBeRuN. The functional is PBE-GGA.

Structure (POSCAR):
```
PaBeRuN
1.0
3.6677 0.0000 0.0000
0.0000 3.6677 0.0000
0.0000 0.0000 8.0716
Pa Be Ru N
2 2 2 2
Cartesian
0.0000 1.8338 6.7429
1.8338 0.0000 1.3287
0.0000 1.8338 2.5950
1.8338 0.0000 5.4766
0.0000 0.0000 4.0358
1.8338 1.8338 4.0358
1.8338 0.0000 7.1102
0.0000 1.8338 0.9614
```

* magnetic moment: 0.00 μB per formula unit
* crystal system: tetragonal
* SG: No. 129
* uncorrected formation energy: -0.797 eV/atom

***

Entry 8:
This record from Alexandria describes a relaxed structure of InAgAs2Se. The functional is PBE-GGA.

Structure (POSCAR):
```
InAgAs2Se
1.0
5.1034 0.0000 0.0000
0.0000 5.1034 0.0000
0.0000 0.0000 5.2834
As Se Ag In
2 1 1 1
Cartesian
0.0000 2.5517 0.0000
2.5517 0.0000 0.0000
0.0000 0.0000 2.6417
0.0000 0.0000 0.0000
2.5517 2.5517 2.6417
```

* offset from the most stable computed form: 0.000 eV/atom
* magnetic moment: 0.90 μB per formula unit
* crystal system: tetragonal
* SG: No. 123
* uncorrected formation energy: 0.644 eV/atom

***

Entry 9:
This record from Alexandria describes a relaxed structure of ScTi2Ni9. The functional is PBE-GGA.

Structure (POSCAR):
```
ScTi2Ni9
1.0
-2.5714 -2.6365 2.9883
2.1636 -2.8911 3.0745
0.0775 3.9046 7.2751
Sc Ti Ni
1 2 9
Cartesian
0.0000 0.0000 0.0000
-0.3178 -3.1067 8.2761
-0.0124 1.4836 5.0618
-0.2715 -3.6757 4.0504
-0.0588 2.0527 9.2874
-0.1651 -0.8115 6.6689
-0.1476 -1.2630 4.3756
-1.4527 -2.6011 5.8922
0.9505 -2.7303 5.9360
-0.1826 -0.3601 8.9623
-1.2808 1.1073 7.4019
1.1225 0.9780 7.4456
```

* formation enthalpy at 0 K: -354 meV per atom
* offset from the most stable computed form: 0.115 eV/atom
* magnetic moment: 0.00 μB per formula unit
* crystal system: trigonal
* SG: No. 166

***

Entry 10:
This record from Alexandria describes a relaxed structure of AcLaGdZn. The functional is PBE-GGA.

Structure (POSCAR):
```
AcLaGdZn
1.0
-2.5700 4.7956 1.5405
-1.7389 0.6877 5.3365
2.6540 3.6678 3.3880
Ac Gd Zn La
1 1 1 1
Cartesian
0.0000 0.0000 0.0000
-1.2411 6.8633 7.6988
-0.8274 4.5755 5.1325
-0.4137 2.2878 2.5663
```

* formation enthalpy at 0 K: 127 meV per atom
* magnetic moment: 8.24 μB per formula unit
* crystal system: cubic
* SG: No. 216

***

Entry 11:
This record from Alexandria describes a relaxed structure of BaLiOs2. The functional is PBE-GGA.

Structure (POSCAR):
```
BaLiOs2
1.0
-2.0710 2.0376 -1.4307
-0.8608 -2.3322 -2.0755
-5.4130 -2.1940 4.7106
Ba Li Os
1 1 2
Cartesian
-2.8192 -0.6958 -0.5754
-5.5257 -1.7928 1.7799
-4.8911 -1.9825 4.2565
-3.2284 -1.3086 2.8095
```

* formation enthalpy at 0 K: 976 meV per atom
* offset from the most stable computed form: 0.740 eV/atom
* magnetic moment: 0.00 μB per formula unit
* crystal system: tetragonal
* SG: No. 123

***

Entry 12:
This record from Alexandria describes a relaxed structure of Nd8Al2Au. The functional is PBE-GGA.

Structure (POSCAR):
```
Nd8Al2Au
1.0
-3.9740 2.9864 -2.0025
-4.7274 -3.4258 4.2726
5.6369 5.9850 4.9103
Nd Al Au
8 2 1
Cartesian
-5.1015 0.5671 3.7985
-0.1731 3.3767 5.3792
0.5044 2.2604 2.3699
-1.2341 -0.8943 1.1154
-3.5689 3.2852 4.8105
-2.8913 2.1689 1.8012
2.0370 4.9785 3.3820
-1.8304 6.4398 6.0650
-1.8859 0.4291 4.3826
-1.1786 5.1165 2.7979
-1.9870 1.4932 -1.0012
```

* formation enthalpy at 0 K: -203 meV per atom
* offset from the most stable computed form: 0.045 eV/atom
* magnetic moment: 0.00 μB per formula unit
* crystal system: orthorhombic
* SG: No. 71

***

Number 5 is which compound?
Pm2ScGaO6

***

Which of these has the highest magnetic moment?
AcLaGdZn

***

magnetic moment of number 1 (CeUCoNi)?
1.07 μB per formula unit